Record 1
## NaTlGa2Pd (PBE-GGA)

Data for an optimized crystal structure of NaTlGa2Pd.

Unit cell a=4.8949 b=4.8949 c=5.4555 alpha=90.00 beta=90.00 gamma=90.00
Last column: nearest neighbours and their distance in Å.
Atoms (fractional coordinates):
Na  0.5000  0.5000  0.5000  4 Tl 3.46, 8 Ga 3.66
Tl  0.0000  0.0000  0.5000  2 Pd 2.73
Ga  0.0000  0.5000  0.0000  2 Pd 2.45
Ga  0.5000  0.0000  0.0000  2 Pd 2.45
Pd  0.0000  0.0000  0.0000  4 Ga 2.45, 2 Tl 2.73

Computed properties:
ΔE_f (kcal/mol of atoms): -1.9
V (A^3/atom): 26.1
N(E_F) (states/eV/cell): 3.43
SG: P4/mmm (123)
Distance to the lowest polymorph of the same formula (eV/atom): 0.064

***

Record 2
## LaAl4Mo (PBE-GGA)

Data for an optimized crystal structure of LaAl4Mo.

Unit cell a=5.4038 b=5.4038 c=5.4038 alpha=60.00 beta=60.00 gamma=60.00
Last column: nearest neighbours and their distance in Å.
Atoms (fractional coordinates):
La  0.7500  0.7500  0.7500  12 Al 3.17, 4 Mo 3.31
Al  0.8764  0.3745  0.3745  6 Al 2.69-2.71
Al  0.3745  0.3745  0.8764  6 Al 2.69-2.71
Al  0.3745  0.8764  0.3745  6 Al 2.69-2.71
Al  0.3745  0.3745  0.3745  6 Al 2.69-2.71
Mo  0.0000  0.0000  0.0000  12 Al 3.17, 4 La 3.31

Computed properties:
ΔE_f (kcal/mol of atoms): -2.5
V (A^3/atom): 18.6
N(E_F) (states/eV/cell): 2.42
SG: F-43m (216)

***

Record 3
## CsTe3H (PBE-GGA)

Data for an optimized crystal structure of CsTe3H.

Unit cell a=6.7739 b=6.7739 c=6.7739 alpha=85.00 beta=85.00 gamma=85.00
Last column: nearest neighbours and their distance in Å.
Atoms (fractional coordinates):
Cs  0.7943  0.7943  0.7943  2 H 3.18
Cs  0.2943  0.2943  0.2943  2 H 3.18
Te  0.0440  0.8142  0.2746  1 H 2.11
Te  0.2746  0.0440  0.8142  1 H 2.11
Te  0.8142  0.2746  0.0440  1 H 2.11
Te  0.5440  0.7746  0.3142  1 H 2.11
Te  0.7746  0.3142  0.5440  1 H 2.11
Te  0.3142  0.5440  0.7746  1 H 2.11
H  0.0444  0.0444  0.0444  3 Te 2.11
H  0.5444  0.5444  0.5444  3 Te 2.11

Computed properties:
V (A^3/atom): 30.7
N(E_F) (states/eV/cell): 9.29
SG: R-3c (167)
Distance to the lowest polymorph of the same formula (eV/atom): 0.000